(1)
This record from Alexandria via LeMat-Bulk describes a relaxed La2PPb crystal. The functional is PBE.

POSCAR file:
```
La2PPb
1.0
5.3227 -0.0029 0.0044
1.0699 5.2141 0.0044
-0.0034 -0.0028 4.0104
Pb La P
1 2 1
Cartesian
0.5332 2.6057 2.0074
0.0000 0.0000 0.0000
3.1963 2.6056 0.0044
2.6597 -0.0028 2.0074
```

Summary:
Volume = 27.83 Å³ per atom
Density of states at the Fermi level = 3.7 states/eV/cell
Symmetry = No. 65
Formation energy = -731 meV per atom

=====

(2)
This record from Alexandria via LeMat-Bulk describes a relaxed KMn2Zn crystal. The functional is PBE.

POSCAR file:
```
KMn2Zn
1.0
4.7812 0.0000 0.0000
0.0000 4.2352 0.0000
0.0000 0.0000 4.2352
Mn K Zn
2 1 1
Cartesian
0.0000 0.0000 0.0000
0.0000 2.1176 2.1176
2.3906 0.0000 2.1176
2.3906 2.1176 0.0000
```

Summary:
Volume = 21.44 Å³ per atom
Density of states at the Fermi level = 3.8 states/eV/cell
Symmetry = No. 123
Formation energy = 998 meV per atom

=====

(3)
This record from Alexandria via LeMat-Bulk describes a relaxed Tb2PmU2Ru5 crystal. The functional is PBE.

POSCAR file:
```
Tb2PmU2Ru5
1.0
3.6646 0.0000 0.0000
0.0000 10.6205 0.0000
0.0000 0.0000 10.6205
Tb Ru U Pm
4 10 4 2
Cartesian
0.0000 3.4471 8.7573
0.0000 8.7573 7.1733
0.0000 1.8631 3.4471
0.0000 7.1733 1.8631
1.8323 2.3025 0.5874
1.8323 5.8976 7.6127
1.8323 4.7229 3.0077
1.8323 3.0077 5.8976
1.8323 0.5874 8.3180
1.8323 7.6127 4.7229
1.8323 10.0331 2.3025
1.8323 8.3180 10.0331
1.8323 5.3102 0.0000
1.8323 0.0000 5.3102
0.0000 6.7149 9.2158
0.0000 9.2158 3.9056
0.0000 1.4047 6.7149
0.0000 3.9056 1.4047
0.0000 5.3102 5.3102
0.0000 0.0000 0.0000
```

Summary:
Volume = 20.67 Å³ per atom
Density of states at the Fermi level = 14.3 states/eV/cell
Symmetry = No. 127
Formation energy = -251 meV per atom

=====

(4)
This record from Alexandria via LeMat-Bulk describes a relaxed AcPm2Dy2 crystal. The functional is PBE.

POSCAR file:
```
AcPm2Dy2
1.0
-2.4644 -2.6981 0.2682
3.0563 -3.1636 -3.7417
4.0104 -0.3753 8.0426
Pm Ac Dy
2 1 2
Cartesian
4.3996 -2.4344 3.4194
0.2027 -3.8026 1.1497
0.7730 -1.5367 4.1554
3.8656 -1.6159 6.7454
0.7368 -4.6211 -2.1762
```

Summary:
Volume = 35.21 Å³ per atom
Density of states at the Fermi level = 6.9 states/eV/cell
Symmetry = No. 71
Formation energy = 33 meV per atom